No. 1
A relaxed GaTcI2 crystal. Source: Alexandria via LeMat-Bulk, functional PBE.

- electronic total energy (eV/cell) = -31.2
- raw formation energy (eV per atom) = 0.22
- mass density (g/cm3) = 5.8
- space group = I-42d (122)

Lattice parameters (Å, degrees): 9.741 9.741 7.335 48.40 48.40 90.00
Fractional coordinates of all 8 atoms:
I 0.771 0.125 0.250
I 0.979 0.625 0.250
I 0.375 0.229 0.750
I 0.875 0.021 0.750
Tc 0.000 0.000 0.000
Tc 0.750 0.250 0.500
Ga 0.500 0.500 0.000
Ga 0.250 0.750 0.500

No. 2
A relaxed MgAlCu2 crystal. Source: Alexandria via LeMat-Bulk, functional PBE.

- formation energy from the elements (kJ per mole of atoms) = -17
- electronic total energy (eV/cell) = -14.2
- mass density (g/cm3) = 5.1
- space group = P4/mmm (123)

Lattice parameters (Å, degrees): 2.937 2.937 6.670 90.00 90.00 90.00
Fractional coordinates of all 4 atoms:
Mg 0.000 0.500 0.500
Al 0.000 0.500 0.000
Cu 0.500 0.000 0.226
Cu 0.500 0.000 0.774

No. 3
A relaxed Tb8Pm2In crystal. Source: Alexandria via LeMat-Bulk, functional PBE.

- formation energy from the elements (kJ per mole of atoms) = -6
- electronic total energy (eV/cell) = -50.0
- mass density (g/cm3) = 8.1
- space group = C2/m (12)

Lattice parameters (Å, degrees): 4.978 7.928 9.384 104.76 105.38 90.00
Fractional coordinates of all 11 atoms:
Tb 0.411 0.557 0.822
Tb 0.680 0.909 0.359
Tb 0.866 0.825 0.732
Tb 0.956 0.275 0.912
Tb 0.134 0.175 0.268
Tb 0.320 0.091 0.641
Tb 0.589 0.443 0.178
Tb 0.044 0.725 0.088
Pm 0.777 0.365 0.555
Pm 0.223 0.635 0.445
In 0.500 0.000 0.000

No. 4
A relaxed CoSbAu2 crystal. Source: Alexandria via LeMat-Bulk, functional PBE.

- electronic total energy (eV/cell) = -16.9
- raw formation energy (eV per atom) = 0.22
- mass density (g/cm3) = 13.1
- space group = Cm (8)

Lattice parameters (Å, degrees): 4.696 4.696 4.839 74.08 74.08 45.75
Site moments in Bohr magnetons follow the coordinates.
Fractional coordinates of all 4 atoms:
Au 0.005 0.005 0.990  0.01
Au 0.763 0.763 0.737  -0.01
Co 0.503 0.503 0.467  1.20
Sb 0.229 0.229 0.306  -0.01

No. 5
A relaxed NbInSeN2 crystal. Source: Alexandria via LeMat-Bulk, functional PBE.

- electronic total energy (eV/cell) = -25.2
- raw formation energy (eV per atom) = 1.55
- mass density (g/cm3) = 5.9
- space group = P4/mmm (123)

Lattice parameters (Å, degrees): 4.102 4.102 5.270 90.00 90.00 90.00
Fractional coordinates of all 5 atoms:
Nb 0.500 0.500 0.500
N 0.000 0.500 0.000
N 0.500 0.000 0.000
Se 0.000 0.000 0.500
In 0.000 0.000 0.000

No. 6
A relaxed CeEuPd2 crystal. Source: Alexandria via LeMat-Bulk, functional PBE.

- formation energy from the elements (kJ per mole of atoms) = -61
- electronic total energy (eV/cell) = -29.1
- mass density (g/cm3) = 9.0
- space group = Fm-3m (225)

Lattice parameters (Å, degrees): 5.093 5.093 5.093 60.00 60.00 60.00
Site moments in Bohr magnetons follow the coordinates.
Fractional coordinates of all 4 atoms:
Eu 0.000 0.000 0.000  6.81
Pd 0.250 0.250 0.250  -0.02
Pd 0.750 0.750 0.750  -0.02
Ce 0.500 0.500 0.500  0.89